Entry 1:
Cl: relaxed, PBEsol.

Cell and atoms, written as CIF:
```
data_Cl
_chemical_formula_sum 'Cl8'
_space_group_name_H-M_alt 'C m c e'
_space_group_IT_number 64
_space_group_name_Hall '-C 2ac 2'
_cell_length_a 6.7901
_cell_length_b 3.8393
_cell_length_c 8.0467
_cell_angle_alpha 90.00
_cell_angle_beta 90.00
_cell_angle_gamma 90.00
loop_
_atom_site_label
_atom_site_fract_x
_atom_site_fract_y
_atom_site_fract_z
Cl1 0.0000 0.1250 0.1107
```

Computed properties:
Formation energy without anion corrections: 0.0015 eV per atom
Distance to the lowest polymorph of the same formula: 0.002 eV/atom
V: 209.77 Å³/cell

Entry 2:
TeAsAu2: relaxed, PBEsol.

Cell and atoms, written as CIF:
```
data_TeAsAu2
_chemical_formula_sum 'Te2 As2 Au4'
_space_group_name_H-M_alt 'C 1 m 1'
_space_group_IT_number 8
_space_group_name_Hall 'C -2y'
_cell_length_a 6.8755
_cell_length_b 3.9676
_cell_length_c 6.6145
_cell_angle_alpha 90.00
_cell_angle_beta 110.39
_cell_angle_gamma 90.00
loop_
_atom_site_label
_atom_site_fract_x
_atom_site_fract_y
_atom_site_fract_z
Te1 0.0000 0.0000 0.0000
As1 0.2270 0.0000 0.6806
Au1 0.2485 0.5000 0.2459
Au2 0.4958 0.0000 0.4876
```

Computed properties:
Formation energy without anion corrections: 0.0234 eV per atom
Distance to the lowest polymorph of the same formula: 0.000 eV/atom
V: 169.13 Å³/cell

Entry 3:
Pm2InSn: relaxed, PBEsol.

Cell and atoms, written as CIF:
```
data_Pm2InSn
_chemical_formula_sum 'Pm8 In4 Sn4'
_space_group_name_H-M_alt 'F m -3 m'
_space_group_IT_number 225
_space_group_name_Hall '-F 4 2 3'
_cell_length_a 7.5805
_cell_length_b 7.5805
_cell_length_c 7.5805
_cell_angle_alpha 90.00
_cell_angle_beta 90.00
_cell_angle_gamma 90.00
loop_
_atom_site_label
_atom_site_fract_x
_atom_site_fract_y
_atom_site_fract_z
Pm1 0.2500 0.2500 0.2500
In1 0.0000 0.0000 0.0000
Sn1 0.0000 0.0000 0.5000
```

Computed properties:
V: 435.61 Å³/cell
Calculated formation energy: -0.587 eV per atom

Entry 4:
Nb3Pb2O7F5: relaxed, PBEsol.

Cell and atoms, written as CIF:
```
data_Nb3Pb2O7F5
_chemical_formula_sum 'Nb6 Pb4 O14 F10'
_space_group_name_H-M_alt 'I m m 2'
_space_group_IT_number 44
_space_group_name_Hall 'I 2 -2'
_cell_length_a 3.8715
_cell_length_b 3.9450
_cell_length_c 32.7570
_cell_angle_alpha 90.00
_cell_angle_beta 90.00
_cell_angle_gamma 90.00
loop_
_atom_site_label
_atom_site_fract_x
_atom_site_fract_y
_atom_site_fract_z
Nb1 0.0000 0.0000 0.0000
Nb2 0.0000 0.0000 0.1174
Nb3 0.0000 0.0000 0.2379
Pb1 0.0000 0.0000 0.4275
Pb2 0.0000 0.0000 0.8326
O1 0.0000 0.0000 0.0559
O2 0.0000 0.0000 0.1836
O3 0.0000 0.5000 0.1202
O4 0.0000 0.5000 0.4867
O5 0.0000 0.5000 0.6229
O6 0.0000 0.5000 0.7475
O7 0.0000 0.5000 0.9877
F1 0.0000 0.0000 0.3044
F2 0.0000 0.0000 0.9320
F3 0.0000 0.5000 0.2486
F4 0.0000 0.5000 0.3732
F5 0.0000 0.5000 0.8729
```

Computed properties:
Formation energy without anion corrections: -2.4501 eV per atom
V: 500.30 Å³/cell

Entry 5:
Ba2AlHg: relaxed, PBEsol.

Cell and atoms, written as CIF:
```
data_Ba2AlHg
_chemical_formula_sum 'Ba4 Al2 Hg2'
_space_group_name_H-M_alt 'I m m 2'
_space_group_IT_number 44
_space_group_name_Hall 'I 2 -2'
_cell_length_a 4.0463
_cell_length_b 5.7092
_cell_length_c 11.2868
_cell_angle_alpha 90.00
_cell_angle_beta 90.00
_cell_angle_gamma 90.00
loop_
_atom_site_label
_atom_site_fract_x
_atom_site_fract_y
_atom_site_fract_z
Ba1 0.0000 0.0000 0.0000
Ba2 0.0000 0.5000 0.1870
Al1 0.0000 0.0000 0.4208
Hg1 0.0000 0.5000 0.7619
```

Computed properties:
Distance to the lowest polymorph of the same formula: 0.000 eV/atom
V: 260.74 Å³/cell
Calculated formation energy: -0.295 eV per atom

Entry 6:
P2OsCS: relaxed, PBEsol.

Cell and atoms, written as CIF:
```
data_P2OsCS
_chemical_formula_sum 'P2 Os1 C1 S1'
_space_group_name_H-M_alt 'P 4/m m m'
_space_group_IT_number 123
_space_group_name_Hall '-P 4 2'
_cell_length_a 4.4395
_cell_length_b 4.4395
_cell_length_c 4.8239
_cell_angle_alpha 90.00
_cell_angle_beta 90.00
_cell_angle_gamma 90.00
loop_
_atom_site_label
_atom_site_fract_x
_atom_site_fract_y
_atom_site_fract_z
P1 0.0000 0.5000 0.0000
Os1 0.0000 0.0000 0.0000
C1 0.5000 0.5000 0.5000
S1 0.0000 0.0000 0.5000
```

Computed properties:
Formation energy without anion corrections: 1.9616 eV per atom
V: 95.08 Å³/cell

Entry 7:
AlAgTe2Pt: relaxed, PBEsol.

Cell and atoms, written as CIF:
```
data_AlAgTe2Pt
_chemical_formula_sum 'Al1 Ag1 Te2 Pt1'
_space_group_name_H-M_alt 'P 4/m m m'
_space_group_IT_number 123
_space_group_name_Hall '-P 4 2'
_cell_length_a 5.1543
_cell_length_b 5.1543
_cell_length_c 4.6257
_cell_angle_alpha 90.00
_cell_angle_beta 90.00
_cell_angle_gamma 90.00
loop_
_atom_site_label
_atom_site_fract_x
_atom_site_fract_y
_atom_site_fract_z
Al1 0.0000 0.0000 0.0000
Ag1 0.0000 0.0000 0.5000
Te1 0.0000 0.5000 0.0000
Pt1 0.5000 0.5000 0.5000
```

Computed properties:
Formation energy without anion corrections: 0.8919 eV per atom
V: 122.89 Å³/cell

Entry 8:
KRhC2: relaxed, PBEsol.

Cell and atoms, written as CIF:
```
data_KRhC2
_chemical_formula_sum 'K4 Rh4 C8'
_space_group_name_H-M_alt 'I 41/a m d'
_space_group_IT_number 141
_cell_length_a 5.2859
_cell_length_b 5.2859
_cell_length_c 10.5902
_cell_angle_alpha 90.00
_cell_angle_beta 90.00
_cell_angle_gamma 90.00
loop_
_space_group_symop_operation_xyz
'x,y,z'
'-x,-y,-z'
'-y+1/4,x+3/4,z+1/4'
'y+1/4,-x+3/4,-z+1/4'
'-x+1/2,-y,z+1/2'
'x+1/2,y,-z+1/2'
'y+1/4,-x+1/4,z+3/4'
'-y+1/4,x+1/4,-z+3/4'
'x,-y,-z'
'-x,y,z'
'-y+1/4,-x+1/4,-z+3/4'
'y+1/4,x+1/4,z+3/4'
'-x+1/2,y,-z+1/2'
'x+1/2,-y,z+1/2'
'y+1/4,x+3/4,-z+1/4'
'-y+1/4,-x+3/4,z+1/4'
'x+1/2,y+1/2,z+1/2'
'-x+1/2,-y+1/2,-z+1/2'
'-y+3/4,x+1/4,z+3/4'
'y+3/4,-x+1/4,-z+3/4'
'-x,-y+1/2,z'
'x,y+1/2,-z'
'y+3/4,-x+3/4,z+1/4'
'-y+3/4,x+3/4,-z+1/4'
'x+1/2,-y+1/2,-z+1/2'
'-x+1/2,y+1/2,z+1/2'
'-y+3/4,-x+3/4,-z+1/4'
'y+3/4,x+3/4,z+1/4'
'-x,y+1/2,-z'
'x,-y+1/2,z'
'y+3/4,x+1/4,-z+3/4'
'-y+3/4,-x+1/4,z+3/4'
loop_
_atom_site_label
_atom_site_fract_x
_atom_site_fract_y
_atom_site_fract_z
K1 0.0000 0.2500 0.3750
Rh1 0.0000 0.2500 0.8750
C1 0.0000 0.0000 0.0000
```

Computed properties:
V: 295.89 Å³/cell
Calculated formation energy: 0.943 eV per atom

Repeat the seventh record exactly.
AlAgTe2Pt: relaxed, PBEsol.

Cell and atoms, written as CIF:
```
data_AlAgTe2Pt
_chemical_formula_sum 'Al1 Ag1 Te2 Pt1'
_space_group_name_H-M_alt 'P 4/m m m'
_space_group_IT_number 123
_space_group_name_Hall '-P 4 2'
_cell_length_a 5.1543
_cell_length_b 5.1543
_cell_length_c 4.6257
_cell_angle_alpha 90.00
_cell_angle_beta 90.00
_cell_angle_gamma 90.00
loop_
_atom_site_label
_atom_site_fract_x
_atom_site_fract_y
_atom_site_fract_z
Al1 0.0000 0.0000 0.0000
Ag1 0.0000 0.0000 0.5000
Te1 0.0000 0.5000 0.0000
Pt1 0.5000 0.5000 0.5000
```

Computed properties:
Formation energy without anion corrections: 0.8919 eV per atom
V: 122.89 Å³/cell